Computed, not measured: crystalline TbOsO3 at its relaxed geometry at the PBEsol level of DFT.

Cell lengths 3.914, 3.914, 3.914 Å; angles 90.00, 90.00, 90.00 degrees
Atoms (fractional coordinates):
Tb 0.000 0.000 0.000
Os 0.500 0.500 0.500
O 0.000 0.500 0.500
O 0.500 0.000 0.500
O 0.500 0.500 0.000

Space-group type ... Pm-3m
V ... 59.96 Å³/cell
Energy relative to the elements, uncorrected ... -7.54 eV/f.u.